# 1
Here is a relaxed CeYOs crystal from Alexandria. Energies are from PBE-GGA.

Computed properties:
Fermi-level density of states: 1.558 states/eV/atom
Polymorph energy (0 for the lowest one): 110 meV/atom
E_form: -50 meV per atom
V: 27.2 A^3/atom

abc: 7.4411 6.6518 7.1819
angles: 66.76 90.00 90.00
Each line ends with the local moment (μB).
Sites, in units of the cell vectors:
Ce (0.6692, 0.7752, 0.0387)  0.21
Ce (0.3308, 0.2248, 0.9613)  0.21
Ce (0.1692, 0.2248, 0.4613)  0.21
Ce (0.8308, 0.7752, 0.5387)  0.21
Y (0.1700, 0.7116, 0.9377)  0.02
Y (0.3300, 0.7116, 0.4377)  0.02
Y (0.8300, 0.2884, 0.0623)  0.02
Y (0.6700, 0.2884, 0.5623)  0.02
Os (0.5639, 0.5596, 0.7900)  -0.02
Os (0.4361, 0.4404, 0.2100)  -0.02
Os (0.9361, 0.5596, 0.2900)  -0.02
Os (0.0639, 0.4404, 0.7100)  -0.02

# 2
Here is a relaxed GdHfIn2 crystal from Alexandria. Energies are from PBE-GGA.

Computed properties:
Fermi-level density of states: 0.875 states/eV/atom
Polymorph energy (0 for the lowest one): 118 meV/atom
E_form: -179 meV per atom
V: 24.5 A^3/atom

abc: 5.1716 5.1716 5.1716
angles: 60.00 60.00 60.00
Each line ends with the local moment (μB).
Sites, in units of the cell vectors:
Gd (0.0000, 0.0000, 0.0000)  6.99
Hf (0.5000, 0.5000, 0.5000)  -0.12
In (0.2500, 0.2500, 0.2500)  -0.02
In (0.7500, 0.7500, 0.7500)  -0.02

# 3
Here is a relaxed As3SBr7 crystal from Alexandria. Energies are from PBE-GGA.

Computed properties:
Fermi-level density of states: 0.000 states/eV/atom
Formation energy (no corrections): -0.35 eV/atom
V: 32.3 A^3/atom

abc: 7.0338 7.6388 7.6388
angles: 120.00 90.00 90.00
Sites, in units of the cell vectors:
As (0.7752, 0.4928, 0.5072)
As (0.7752, 0.4928, 0.9856)
As (0.7752, 0.0144, 0.5072)
S (0.5889, 0.3333, 0.6667)
Br (0.0019, 0.1700, 0.8300)
Br (0.0019, 0.1700, 0.3401)
Br (0.0189, 0.6667, 0.3333)
Br (0.5587, 0.8317, 0.1683)
Br (0.5587, 0.3365, 0.1683)
Br (0.5587, 0.8317, 0.6635)
Br (0.0019, 0.6599, 0.8300)

# 4
Here is a relaxed Nd3Ga3Ir2 crystal from Alexandria. Energies are from PBE-GGA.

Computed properties:
Fermi-level density of states: 0.700 states/eV/atom
E_form: -721 meV per atom
V: 22.3 A^3/atom

abc: 4.2777 5.8117 15.4242
angles: 90.00 90.00 111.59
Sites, in units of the cell vectors:
Nd (0.9297, 0.8593, 0.3919)
Nd (0.0703, 0.1407, 0.8919)
Nd (0.9297, 0.8593, 0.1081)
Nd (0.0703, 0.1407, 0.6081)
Nd (0.6517, 0.3034, 0.2500)
Nd (0.3483, 0.6966, 0.7500)
Ga (0.6452, 0.2904, 0.4659)
Ga (0.3548, 0.7096, 0.9659)
Ga (0.6452, 0.2904, 0.0341)
Ga (0.3548, 0.7096, 0.5341)
Ga (0.3569, 0.7139, 0.2500)
Ga (0.6431, 0.2861, 0.7500)
Ir (0.7833, 0.5666, 0.8905)
Ir (0.2167, 0.4334, 0.3905)
Ir (0.7833, 0.5666, 0.6095)
Ir (0.2167, 0.4334, 0.1095)

What is the V in the first record? 27.2 A^3/atom